# 1
## CuW2Cl (GGA-PBE)

Data for crystalline CuW2Cl at its relaxed geometry.

Unit cell a=3.157 b=3.157 c=6.677 alpha=90.00 beta=90.00 gamma=90.00
Sites, in units of the cell vectors:
1 Cu 0.500 0.500 0.750
2 W 0.000 0.000 0.936
3 W 0.000 0.000 0.564
4 Cl 0.500 0.500 0.250

Formation energy without anion corrections, eV/atom: 0.860
SG: P4/mmm
DFT total energy, eV per atom: -7.102
Calculated volume, A^3/atom: 16.6
Fermi-level density of states, states/eV/f.u.: 1.888

***

# 2
## CuWCl (GGA-PBE)

Data for crystalline CuWCl at its relaxed geometry.

Unit cell a=4.155 b=4.155 c=4.155 alpha=60.00 beta=60.00 gamma=60.00
Sites, in units of the cell vectors:
1 Cu 0.500 0.500 0.500
2 W 0.750 0.750 0.750
3 Cl 0.000 0.000 0.000

Formation energy without anion corrections, eV/atom: 1.253
SG: F-43m
DFT total energy, eV per atom: -5.046
Calculated volume, A^3/atom: 16.9
Fermi-level density of states, states/eV/f.u.: 2.646

***

# 3
## CuW2Cl (GGA-PBE)

Data for crystalline CuW2Cl at its relaxed geometry.

Unit cell a=5.374 b=5.374 c=5.374 alpha=148.85 beta=128.38 gamma=61.53
Sites, in units of the cell vectors:
1 Cu 0.250 0.750 0.500
2 W 0.980 0.980 0.000
3 W 0.520 0.520 0.000
4 Cl 0.750 0.250 0.500

Formation energy without anion corrections, eV/atom: 0.863
SG: Immm
DFT total energy, eV per atom: -7.099
Calculated volume, A^3/atom: 15.6
Fermi-level density of states, states/eV/f.u.: 2.731

***

Number 1: relative energy among the computed polymorphs 0.478 eV per atom. Number 2: relative energy among the computed polymorphs 0.888 eV per atom. Number 3: relative energy among the computed polymorphs 0.481 eV per atom.